12
Lattice="4.567 0.000 0.000 0.000 7.208 0.000 -0.682 0.000 5.510" Properties=species:S:1:pos:R:3 comment="Ac2HoRuO8 (PBE, optimized geometry)" n_ef_per_ev_cell=2.3 volume_a3_per_cell=181 space_group="P2/m (10)" raw_formation_energy_ev_per_atom=-2.2677 crystal_system=monoclinic pbc="T T T"
Ac 0.000 1.746 0.000
Ac 0.000 5.462 0.000
Ho 1.943 3.604 2.755
Ru 1.943 0.000 2.755
O 0.227 3.604 1.403
O 0.332 0.000 1.890
O 1.448 1.516 3.973
O 1.448 5.691 3.973
O 2.437 1.516 1.536
O 2.437 5.691 1.536
O 3.554 0.000 3.619
O 3.658 3.604 4.107